This record from Alexandria describes an optimized crystal structure of SrLiCu. The functional is GGA-PBE.

Lattice parameters (Å, degrees): 4.545 4.545 4.324 90.00 90.00 120.00
Positions (direct):
Li: 0.667 0.333 0.167
Cu: 0.000 0.000 0.167
Sr: 0.333 0.667 0.667

Results
Symmetry ... P-6m2
Volume ... 25.8 A^3/atom
N(E_F) ... 0.742 states/eV per cell
Energy relative to the lowest polymorph listed for this composition ... 47 meV per atom